Material: Li3MnCoO5
Method: DFT, PBE with a Hubbard U
State: optimized geometry

Values from the calculation:
ΔE to the lowest computed polymorph = 56 meV per atom
Size of the total moment = 6.0 μB/f.u.

The structure in CIF format:
```
data_Li3MnCoO5
_chemical_formula_sum 'Li6 Mn2 Co2 O10'
_cell_length_a 2.934
_cell_length_b 6.464
_cell_length_c 9.859
_cell_angle_alpha 79.82
_cell_angle_beta 88.39
_cell_angle_gamma 77.12
_symmetry_space_group_name_H-M 'P 1'
_symmetry_Int_Tables_number 1
_symmetry_space_group_name_Hall 'P 1'
loop_
_atom_site_label
_atom_site_fract_x
_atom_site_fract_y
_atom_site_fract_z
Li1 0.000 0.000 0.000
Li2 0.058 0.810 0.276
Li3 0.131 0.614 0.569
Li4 0.372 0.185 0.194
Li5 0.506 0.804 0.766
Li6 0.746 0.419 0.372
Mn1 0.679 0.609 0.083
Mn2 0.820 0.205 0.678
Co1 0.256 0.401 0.881
Co2 0.451 0.985 0.464
O1 0.155 0.679 0.944
O2 0.215 0.514 0.207
O3 0.289 0.289 0.551
O4 0.347 0.126 0.812
O5 0.542 0.883 0.121
O6 0.592 0.711 0.435
O7 0.662 0.485 0.739
O8 0.842 0.321 0.019
O9 0.900 0.110 0.340
O10 0.962 0.928 0.630
```